# CdFeAg

A geometry-optimized CdFeAg structure (PBE-GGA, Alexandria via LeMat-Bulk).

Results
formation enthalpy at 0 K = 1.05 eV per formula unit
offset from the most stable computed form = 0.0755 eV/atom
V = 16.99 Å³ per atom

The structure in CIF format:
```
data_CdFeAg
_chemical_formula_sum 'Cd2 Fe2 Ag2'
_symmetry_space_group_name_H-M 'I m m 2'
_symmetry_Int_Tables_number 44
_cell_length_a 2.879
_cell_length_b 3.985
_cell_length_c 8.886
_cell_angle_alpha 90.00
_cell_angle_beta 90.00
_cell_angle_gamma 90.00
loop_
_symmetry_equiv_pos_as_xyz
'x,y,z'
'-x,-y,z'
'-x,y,z'
'x,-y,z'
'x+1/2,y+1/2,z+1/2'
'-x+1/2,-y+1/2,z+1/2'
'-x+1/2,y+1/2,z+1/2'
'x+1/2,-y+1/2,z+1/2'
loop_
_atom_site_label
_atom_site_fract_x
_atom_site_fract_y
_atom_site_fract_z
_atom_site_occupancy
Cd1 0.000 0.000 0.000 1
Fe1 0.000 0.000 0.665 1
Ag1 0.000 0.000 0.323 1
```



# CaPu3Se4

A geometry-optimized CaPu3Se4 structure (PBE-GGA, Alexandria via LeMat-Bulk).

Results
formation energy without anion corrections = -1.62 eV/atom
offset from the most stable computed form = 0.0000 eV/atom
V = 25.69 Å³ per atom

The structure in CIF format:
```
data_CaPu3Se4
_chemical_formula_sum 'Ca2 Pu6 Se8'
_symmetry_space_group_name_H-M 'C m m m'
_symmetry_Int_Tables_number 65
_symmetry_space_group_name_Hall '-C 2 2'
_cell_length_a 8.354
_cell_length_b 11.802
_cell_length_c 4.169
_cell_angle_alpha 90.00
_cell_angle_beta 90.00
_cell_angle_gamma 90.00
loop_
_atom_site_label
_atom_site_fract_x
_atom_site_fract_y
_atom_site_fract_z
_atom_site_occupancy
Ca1 0.000 0.000 0.000 1
Pu1 0.000 0.500 0.000 1
Pu2 0.250 0.250 0.500 1
Se1 0.000 0.251 0.000 1
Se2 0.249 0.500 0.500 1
```



# RbRhBr6

A geometry-optimized RbRhBr6 structure (PBE-GGA, Alexandria via LeMat-Bulk).

Results
formation energy without anion corrections = -0.53 eV/atom
V = 31.32 Å³ per atom

The structure in CIF format:
```
data_RbRhBr6
_chemical_formula_sum 'Rb3 Rh3 Br18'
_symmetry_space_group_name_H-M 'R -3 m'
_symmetry_Int_Tables_number 166
_symmetry_space_group_name_Hall '-R 3 2"'
_cell_length_a 9.6201
_cell_length_b 9.6201
_cell_length_c 9.3801
_cell_angle_alpha 90.00
_cell_angle_beta 90.00
_cell_angle_gamma 120.00
loop_
_atom_site_label
_atom_site_fract_x
_atom_site_fract_y
_atom_site_fract_z
_atom_site_occupancy
Rb1 0.0000 0.0000 0.0000 1
Rh1 0.0000 0.0000 0.5000 1
Br1 0.0925 0.5462 0.3235 1
```



# MgReIr

A geometry-optimized MgReIr structure (PBE-GGA, Alexandria via LeMat-Bulk).

Results
formation enthalpy at 0 K = -0.32 eV per formula unit
offset from the most stable computed form = 0.0680 eV/atom
V = 15.73 Å³ per atom

The structure in CIF format:
```
data_MgReIr
_chemical_formula_sum 'Mg2 Re2 Ir2'
_symmetry_space_group_name_H-M 'P 1 21/m 1'
_symmetry_Int_Tables_number 11
_cell_length_a 4.520
_cell_length_b 2.818
_cell_length_c 7.561
_cell_angle_alpha 90.00
_cell_angle_beta 101.40
_cell_angle_gamma 90.00
loop_
_symmetry_equiv_pos_as_xyz
'x,y,z'
'-x,-y,-z'
'-x,y+1/2,-z'
'x,-y+1/2,z'
loop_
_atom_site_label
_atom_site_fract_x
_atom_site_fract_y
_atom_site_fract_z
_atom_site_occupancy
Mg1 0.154 0.250 0.186 1
Re1 0.266 0.750 0.551 1
Ir1 0.354 0.250 0.850 1
```



# Re2PRu

A geometry-optimized Re2PRu structure (PBE-GGA, Alexandria via LeMat-Bulk).

Results
formation enthalpy at 0 K = 0.64 eV per formula unit
V = 14.37 Å³ per atom

The structure in CIF format:
```
data_Re2PRu
_chemical_formula_sum 'Re2 P1 Ru1'
_symmetry_space_group_name_H-M 'P m m 2'
_symmetry_Int_Tables_number 25
_cell_length_a 2.847
_cell_length_b 3.906
_cell_length_c 5.169
_cell_angle_alpha 90.00
_cell_angle_beta 90.00
_cell_angle_gamma 90.00
loop_
_symmetry_equiv_pos_as_xyz
'x,y,z'
'-x,-y,z'
'-x,y,z'
'x,-y,z'
loop_
_atom_site_label
_atom_site_fract_x
_atom_site_fract_y
_atom_site_fract_z
_atom_site_occupancy
Re1 0.000 0.000 0.000 1
Re2 0.500 0.500 0.200 1
P1 0.500 0.500 0.702 1
Ru1 0.000 0.000 0.519 1
```



# Ga2BOsF

A geometry-optimized Ga2BOsF structure (PBE-GGA, Alexandria via LeMat-Bulk).

Results
formation energy without anion corrections = -0.12 eV/atom
V = 18.43 Å³ per atom

The structure in CIF format:
```
data_Ga2BOsF
_chemical_formula_sum 'Ga2 B1 Os1 F1'
_symmetry_space_group_name_H-M 'P 4/m m m'
_symmetry_Int_Tables_number 123
_symmetry_space_group_name_Hall '-P 4 2'
_cell_length_a 4.834
_cell_length_b 4.834
_cell_length_c 3.944
_cell_angle_alpha 90.00
_cell_angle_beta 90.00
_cell_angle_gamma 90.00
loop_
_atom_site_label
_atom_site_fract_x
_atom_site_fract_y
_atom_site_fract_z
_atom_site_occupancy
Ga1 0.000 0.500 0.000 1
B1 0.000 0.000 0.500 1
Os1 0.000 0.000 0.000 1
F1 0.500 0.500 0.500 1
```



# Be3Ru2

A geometry-optimized Be3Ru2 structure (PBE-GGA, Alexandria via LeMat-Bulk).

Results
formation enthalpy at 0 K = -1.53 eV per formula unit
offset from the most stable computed form = 0.1068 eV/atom
V = 10.15 Å³ per atom

The structure in CIF format:
```
data_Be3Ru2
_chemical_formula_sum 'Be24 Ru16'
_symmetry_space_group_name_H-M 'F d d 2'
_symmetry_Int_Tables_number 43
_symmetry_space_group_name_Hall 'F 2 -2d'
_cell_length_a 7.910
_cell_length_b 10.990
_cell_length_c 4.669
_cell_angle_alpha 90.00
_cell_angle_beta 90.00
_cell_angle_gamma 90.00
loop_
_atom_site_label
_atom_site_fract_x
_atom_site_fract_y
_atom_site_fract_z
_atom_site_occupancy
Be1 0.000 0.000 0.000 1
Be2 0.069 0.116 0.367 1
Ru1 0.074 0.195 0.867 1
```



# CePr14Nd

A geometry-optimized CePr14Nd structure (PBE-GGA, Alexandria via LeMat-Bulk).

Results
formation enthalpy at 0 K = 0.49 eV per formula unit
V = 35.89 Å³ per atom

The structure in CIF format:
```
data_CePr14Nd
_chemical_formula_sum 'Ce2 Pr28 Nd2'
_symmetry_space_group_name_H-M 'A m m 2'
_symmetry_Int_Tables_number 38
_cell_length_a 10.499
_cell_length_b 10.456
_cell_length_c 10.463
_cell_angle_alpha 90.00
_cell_angle_beta 90.00
_cell_angle_gamma 90.00
loop_
_symmetry_equiv_pos_as_xyz
'x,y,z'
'-x,-y,z'
'-x,y,z'
'x,-y,z'
'x,y+1/2,z+1/2'
'-x,-y+1/2,z+1/2'
'-x,y+1/2,z+1/2'
'x,-y+1/2,z+1/2'
loop_
_atom_site_label
_atom_site_fract_x
_atom_site_fract_y
_atom_site_fract_z
_atom_site_occupancy
Ce1 0.000 0.000 0.000 1
Pr1 0.000 0.249 0.750 1
Pr2 0.247 0.000 0.248 1
Pr3 0.248 0.000 0.752 1
Pr4 0.248 0.248 0.000 1
Pr5 0.500 0.000 0.500 1
Pr6 0.500 0.000 0.999 1
Pr7 0.500 0.249 0.250 1
Nd1 0.000 0.000 0.499 1
```



| no. | magnetization (μB per formula unit) | calculated density (kg/m3) | uncorrected energy (eV/atom) |
| --- | --- | --- | --- |
| 1 | 2.84 | 8995 | -3.73 |
| 2 | 17.55 | 8790 | -8.99 |
| 3 | 0.00 | 4425 | -2.82 |
| 4 | 0.00 | 14169 | -7.74 |
| 5 | 0.00 | 14570 | -9.74 |
| 6 | 0.00 | 6477 | -5.28 |
| 7 | 0.00 | 7501 | -6.25 |
| 8 | 1.34 | 6526 | -4.82 |